Entry 1:
Np2BrF5 | PBE | relaxed

Magnetization = 8.0 μB per formula unit
Space group = Immm

a b c (Å): 6.3746 6.3746 6.3746
angles (deg): 143.26 110.70 81.10
Closest atoms and distances in Å follow each position.
Fractional positions:
Np (0.2334, 0.2334, 0.0000)  7 F 2.26-2.45
Np (0.7666, 0.7666, 0.0000)  7 F 2.26-2.45
Br (0.5000, 0.0000, 0.5000)  4 Np 3.27, 14 F 3.32-3.62
F (0.0000, 0.0000, 0.0000)  2 Np 2.26
F (0.0046, 0.6846, 0.3200)  3 Np 2.44-2.45, 3 F 2.58-2.61
F (0.3645, 0.6846, 0.6800)  3 Np 2.44-2.45, 3 F 2.58-2.61
F (0.6355, 0.3154, 0.3200)  3 Np 2.44-2.45, 3 F 2.58-2.61
F (0.9954, 0.3154, 0.6800)  3 Np 2.44-2.45, 3 F 2.58-2.61



Entry 2:
SnBPO2 | PBE | relaxed

Magnetization = 0.3 μB per formula unit
Space group = P4/mmm

a b c (Å): 3.8532 3.8532 5.6844
angles (deg): 90.00 90.00 90.00
Closest atoms and distances in Å follow each position.
Fractional positions:
Sn (0.0000, 0.0000, 0.0000)  4 O 1.93
B (0.5000, 0.5000, 0.5000)  4 P 2.72
P (0.0000, 0.0000, 0.5000)  4 B 2.72, 2 Sn 2.84
O (0.0000, 0.5000, 0.0000)  2 Sn 1.93
O (0.5000, 0.0000, 0.0000)  2 Sn 1.93



Entry 3:
CsIn2Au | PBE | relaxed

Magnetization = 0.0 μB per formula unit
Space group = P4/mmm

a b c (Å): 3.6277 3.6277 9.2215
angles (deg): 90.00 90.00 90.00
Closest atoms and distances in Å follow each position.
Fractional positions:
Cs (0.0000, 0.0000, 0.0000)  4 Cs 3.63, 8 In 3.95
In (0.5000, 0.5000, 0.3251)  4 Au 3.03, 1 In 3.23
In (0.5000, 0.5000, 0.6749)  4 Au 3.03, 1 In 3.23
Au (0.0000, 0.0000, 0.5000)  8 In 3.03



Uncorrected energy values (in eV per cell) by entry order: -61.740; -23.174; -10.100.
Volume values (in Å³ per atom) by entry order: 17.64; 16.88; 30.34.